Y8Er3Th4 | Alexandria | PBE | relaxed; space group = C2/m, No. 12; formation energy = 434 meV per atom; VASP energy = -88.6 eV for the cell shown
1.0
6.660 -6.455 0.000
6.660 6.455 0.000
-3.362 0.000 5.831
Y Er Th
8 3 4
Cartesian
6.660 4.588 0.000
3.135 0.000 0.011
1.571 0.000 2.859
4.979 3.288 2.915
4.979 -3.288 2.915
8.387 0.000 2.972
6.823 0.000 5.820
6.660 -4.588 0.000
-1.681 0.000 2.915
1.649 3.227 2.915
1.649 -3.227 2.915
3.330 3.227 0.000
3.330 -3.227 0.000
6.660 0.000 0.000
4.979 0.000 2.915

---

YErTh | Alexandria | PBE | relaxed; space group = P4_2/mmc, No. 131; formation energy = 878 meV per atom; offset from the most stable computed form = 0.857 eV per atom; VASP energy = -31.6 eV for the cell shown
1.0
5.883 0.000 0.000
0.000 5.883 0.000
0.000 0.000 6.455
Y Er Th
2 2 2
Cartesian
0.000 0.000 0.000
0.000 0.000 3.227
0.000 2.942 0.000
2.942 0.000 3.227
2.942 2.942 1.614
2.942 2.942 4.841

---

YEr2Th6 | Alexandria | PBE | relaxed; space group = C2/m, No. 12; formation energy = 309 meV per atom; VASP energy = -57.3 eV for the cell shown
1.0
5.827 -3.506 0.000
5.827 3.506 0.000
-5.422 0.000 7.450
Y Er Th
1 2 6
Cartesian
0.000 0.000 0.000
-1.331 0.000 6.553
7.562 0.000 0.897
1.435 1.839 4.829
4.796 1.839 2.621
2.205 0.000 2.204
4.026 0.000 5.246
1.435 -1.839 4.829
4.796 -1.839 2.621

---

Y2Er4Th3 | Alexandria | PBE | relaxed; space group = P3m1, No. 156; formation energy = 80 meV per atom; VASP energy = -52.7 eV for the cell shown
1.0
3.553 0.000 0.000
-1.776 3.077 0.000
0.000 0.000 26.310
Y Er Th
2 4 3
Cartesian
0.000 0.000 0.000
0.000 0.000 5.819
0.000 0.000 9.133
0.000 0.000 14.882
0.000 2.051 17.678
0.000 2.051 23.462
0.000 0.000 20.575
0.000 2.051 2.972
0.000 2.051 11.942

---

Y12Er5Th | Alexandria | PBE | relaxed; space group = C2/m, No. 12; formation energy = 6 meV per atom; VASP energy = -107.7 eV for the cell shown
1.0
3.108 -5.383 0.000
3.108 5.383 0.000
-2.078 0.000 17.191
Y Er Th
12 5 1
Cartesian
1.038 3.600 11.450
-1.043 0.000 14.341
2.071 1.794 2.855
3.100 3.600 5.741
1.020 0.000 11.450
2.066 1.794 14.336
2.071 -1.794 2.855
3.118 0.000 5.741
1.038 -3.600 11.450
2.066 -1.794 14.336
5.181 0.000 2.850
3.100 -3.600 5.741
3.108 3.590 0.000
2.069 1.794 8.596
3.108 0.000 0.000
2.069 -1.794 8.596
3.108 -3.590 0.000
-1.039 0.000 8.596

---

Y3ErTh | Alexandria | PBE | relaxed; space group = Amm2, No. 38; formation energy = 431 meV per atom; offset from the most stable computed form = 0.404 eV per atom; VASP energy = -29.2 eV for the cell shown
1.0
3.420 0.000 0.000
0.000 3.190 8.106
0.000 -3.190 8.106
Y Er Th
3 1 1
Cartesian
0.000 0.000 0.000
1.710 -1.660 5.498
1.710 1.660 5.498
1.710 0.000 2.814
0.000 0.000 10.538

---

Y2ErTh2 | Alexandria | PBE | relaxed; space group = Immm, No. 71; formation energy = 71 meV per atom; offset from the most stable computed form = 0.000 eV per atom; VASP energy = -32.0 eV for the cell shown
1.0
-1.750 2.903 7.950
1.750 -2.903 7.950
1.750 2.903 -7.950
Y Er Th
2 1 2
Cartesian
0.000 0.000 1.609
0.000 0.000 14.292
0.000 0.000 7.950
1.750 0.000 4.585
0.000 2.903 3.366

---

Y5Er2Th2 | Alexandria | PBE | relaxed; space group = C2/m, No. 12; formation energy = 302 meV per atom; offset from the most stable computed form = 0.037 eV per atom; VASP energy = -53.6 eV for the cell shown
1.0
11.581 -1.744 0.000
11.581 1.744 0.000
-1.982 0.000 8.037
Y Er Th
5 2 2
Cartesian
0.000 0.000 0.000
0.643 0.000 5.926
6.182 0.000 3.490
14.997 0.000 4.547
20.537 0.000 2.111
3.235 0.000 1.537
17.944 0.000 6.501
9.128 0.000 5.108
12.051 0.000 2.929

---

Y4ErTh3 | Alexandria | PBE | relaxed; space group = Pmmn, No. 59; formation energy = 30 meV per atom; VASP energy = -104.9 eV for the cell shown
1.0
5.042 0.000 0.000
0.000 10.106 0.000
0.000 0.000 10.126
Y Er Th
8 2 6
Cartesian
1.261 0.007 1.307
1.261 2.527 8.829
1.261 5.046 1.307
1.261 7.580 8.796
3.782 2.527 1.330
3.782 5.061 8.820
3.782 7.580 1.297
3.782 10.099 8.820
1.261 7.580 3.827
3.782 2.527 6.299
1.261 2.527 3.822
1.261 5.078 6.292
1.261 10.082 6.292
3.782 0.025 3.834
3.782 5.029 3.834
3.782 7.580 6.304

---

Y4ErTh5 | Alexandria | PBE | relaxed; space group = C2/m, No. 12; formation energy = 136 meV per atom; VASP energy = -66.2 eV for the cell shown
1.0
8.829 -1.723 0.000
8.829 1.723 0.000
-3.360 0.000 10.697
Y Er Th
4 1 5
Cartesian
0.612 0.000 3.285
3.978 0.000 4.380
10.321 0.000 6.317
13.687 0.000 7.412
7.149 0.000 5.348
-0.749 0.000 8.506
3.177 0.000 0.991
8.829 0.000 0.000
11.122 0.000 9.706
15.048 0.000 2.191

---

Y2Er12Th5 | Alexandria | PBE | relaxed; space group = C2/m, No. 12; formation energy = 162 meV per atom; offset from the most stable computed form = 0.000 eV per atom; VASP energy = -101.7 eV for the cell shown
1.0
10.905 -3.472 0.000
10.905 3.472 0.000
-2.802 0.000 8.131
Y Er Th
2 12 5
Cartesian
10.905 1.766 0.000
10.905 -1.766 0.000
-0.897 0.000 5.600
5.932 1.748 1.710
6.804 1.792 5.036
5.057 0.000 7.478
12.204 1.792 3.095
13.075 1.748 6.421
5.932 -1.748 1.710
6.804 -1.792 5.036
13.951 0.000 0.653
12.204 -1.792 3.095
13.075 -1.748 6.421
19.904 0.000 2.531
3.057 0.000 0.737
4.071 0.000 4.118
9.504 0.000 4.065
14.937 0.000 4.012
15.950 0.000 7.394

---

Y5Er3Th2 | Alexandria | PBE | relaxed; space group = C2/c, No. 15; formation energy = 209 meV per atom; VASP energy = -117.5 eV for the cell shown
1.0
5.354 -8.477 0.000
5.354 8.477 0.000
-5.353 0.000 7.234
Y Er Th
10 6 4
Cartesian
1.339 8.019 5.425
-1.357 2.208 5.437
4.016 3.749 1.808
1.319 -2.208 1.821
4.016 0.516 1.808
1.339 -0.516 5.425
4.036 2.208 5.413
1.339 -3.749 5.425
6.712 -2.208 1.796
4.016 -8.019 1.808
1.328 2.150 0.313
1.339 4.793 5.425
-1.348 -2.150 3.930
6.703 2.150 3.304
4.016 -4.793 1.808
4.027 -2.150 6.921
1.328 2.150 3.450
-1.348 -2.150 7.067
6.704 2.150 0.167
4.027 -2.150 3.784

---

YEr3Th2 | Alexandria | PBE | relaxed; space group = C2/m, No. 12; formation energy = 149 meV per atom; offset from the most stable computed form = 0.037 eV per atom; VASP energy = -68.2 eV for the cell shown
1.0
11.681 -1.725 0.000
11.681 1.725 0.000
-3.163 0.000 9.576
Y Er Th
2 6 4
Cartesian
4.247 0.000 0.352
15.951 0.000 9.224
-0.038 0.000 4.255
2.293 0.000 6.810
9.391 0.000 2.177
10.808 0.000 7.399
17.905 0.000 2.766
20.236 0.000 5.321
3.257 0.000 3.602
7.288 0.000 8.267
12.910 0.000 1.309
16.941 0.000 5.974

---

Y2ErTh | Alexandria | PBE | relaxed; space group = R3m, No. 160; formation energy = 40 meV per atom; offset from the most stable computed form = 0.041 eV per atom; VASP energy = -24.8 eV for the cell shown
1.0
1.785 1.030 11.575
-1.785 1.030 11.575
0.000 -2.061 11.575
Y Er Th
2 1 1
Cartesian
0.000 0.000 0.000
0.000 0.000 5.841
0.000 0.000 20.289
0.000 0.000 26.045

---

Y2Er5Th3 | Alexandria | PBE | relaxed; space group = C2/m, No. 12; formation energy = 35 meV per atom; VASP energy = -57.7 eV for the cell shown
1.0
5.585 -2.509 0.000
5.585 2.509 0.000
-0.103 0.000 11.241
Y Er Th
2 5 3
Cartesian
1.063 0.000 3.360
10.005 0.000 7.880
2.168 0.000 6.756
3.254 0.000 10.120
5.534 0.000 5.620
7.814 0.000 1.120
8.900 0.000 4.485
0.000 0.000 0.000
4.459 0.000 2.250
6.609 0.000 8.990

---

YEr6Th4 | Alexandria | PBE | relaxed; space group = I-42m, No. 121; formation energy = 512 meV per atom; offset from the most stable computed form = 0.352 eV per atom; VASP energy = -57.9 eV for the cell shown
1.0
-3.921 3.921 6.427
3.921 -3.921 6.427
3.921 3.921 -6.427
Y Er Th
1 6 4
Cartesian
0.000 0.000 0.000
3.921 0.000 0.000
1.917 -1.917 4.098
2.005 2.005 2.329
0.000 3.921 0.000
-1.917 1.917 4.098
1.917 1.917 8.756
2.607 2.607 -0.955
1.314 -1.314 7.382
1.314 1.314 5.472
-1.314 1.314 7.382

---

Y2Er5Th5 | Alexandria | PBE | relaxed; space group = C2/m, No. 12; formation energy = 44 meV per atom; VASP energy = -72.3 eV for the cell shown
1.0
7.517 -2.507 0.000
7.517 2.507 0.000
-5.014 0.000 10.088
Y Er Th
2 5 5
Cartesian
-0.012 0.000 2.528
10.032 0.000 7.560
2.506 0.000 5.001
4.981 0.000 2.542
7.517 0.000 0.000
5.039 0.000 7.546
7.514 0.000 5.087
-2.507 0.000 5.044
2.530 0.000 0.031
-0.031 0.000 7.590
10.050 0.000 2.498
7.490 0.000 10.057

---

YEr6Th2 | Alexandria | PBE | relaxed; space group = P-6m2, No. 187; formation energy = 72 meV per atom; VASP energy = -48.0 eV for the cell shown
1.0
3.550 0.000 0.000
-1.775 3.074 0.000
0.000 0.000 26.090
Y Er Th
1 6 2
Cartesian
0.000 0.000 0.000
0.000 0.000 5.643
0.000 0.000 11.393
0.000 0.000 14.697
0.000 0.000 20.447
0.000 2.049 2.853
0.000 2.049 23.237
0.000 2.049 8.579
0.000 2.049 17.511

---

Y5Er3Th | Alexandria | PBE | relaxed; space group = I4/mcm, No. 140; formation energy = 314 meV per atom; VASP energy = -101.2 eV for the cell shown
1.0
-3.908 3.908 9.597
3.908 -3.908 9.597
3.908 3.908 -9.597
Y Er Th
10 6 2
Cartesian
0.000 0.000 0.000
5.508 1.600 -2.508
1.600 2.308 -2.508
5.508 1.600 2.508
1.600 2.308 2.508
0.000 0.000 9.597
2.308 1.600 7.088
-1.600 2.308 7.088
2.308 1.600 12.105
-1.600 2.308 12.105
2.896 1.012 0.000
0.000 0.000 4.798
2.896 -1.012 9.597
1.012 4.920 0.000
0.000 0.000 14.395
1.012 2.896 9.597
3.908 0.000 4.798
0.000 3.908 4.798

---

YErTh5 | Alexandria | PBE | relaxed; space group = C2/c, No. 15; formation energy = 234 meV per atom; VASP energy = -93.0 eV for the cell shown
1.0
5.692 -3.258 0.000
5.692 3.258 0.000
-2.206 0.000 12.532
Y Er Th
2 2 10
Cartesian
4.038 1.691 9.399
5.141 -1.691 3.133
0.000 0.000 0.000
-1.103 0.000 6.266
1.216 0.110 8.535
2.319 -0.110 2.268
5.141 1.531 3.133
1.642 0.058 11.850
2.745 -0.058 5.584
6.434 0.058 6.949
7.537 -0.058 0.683
4.038 -1.531 9.399
6.861 0.110 10.264
7.963 -0.110 3.998

---

Y5Er6Th | Alexandria | PBE | relaxed; space group = C2/m, No. 12; formation energy = 29 meV per atom; VASP energy = -66.8 eV for the cell shown
1.0
3.070 -5.315 0.000
3.070 5.315 0.000
-2.047 0.000 11.564
Y Er Th
5 6 1
Cartesian
0.000 0.000 0.000
2.047 3.542 5.782
3.070 1.779 0.000
3.070 -1.779 0.000
2.047 -3.542 5.782
1.036 1.751 2.899
0.026 0.000 8.663
1.036 -1.751 2.899
3.058 1.751 8.664
4.068 0.000 2.901
3.058 -1.751 8.664
2.047 0.000 5.782